# 1
NaB2Cl: optimized geometry, GGA-PBE.

Values from the calculation:
- Electronic total energy: -2.2549 eV per atom
- Raw formation energy: 1875 meV per atom
- Theoretical density: 1.92 Mg/m³
- Energy relative to the lowest polymorph listed for this composition: 0.452 eV/atom

Cell and atoms, written as extended XYZ:
```
4
Lattice="0.000 3.258 3.258 3.258 0.000 3.258 3.258 3.258 0.000" Properties=species:S:1:pos:R:3 pbc="T T T"
Na 0.000 0.000 0.000
B 1.629 1.629 1.629
B 4.887 4.887 4.887
Cl 3.258 3.258 3.258
```

=====

# 2
NaBCl2: optimized geometry, GGA-PBE.

Values from the calculation:
- Electronic total energy: -2.7228 eV per atom
- Raw formation energy: 200 meV per atom
- Theoretical density: 1.57 Mg/m³
- Energy relative to the lowest polymorph listed for this composition: 0.265 eV/atom

Cell and atoms, written as extended XYZ:
```
4
Lattice="2.035 1.175 7.738 -2.035 1.175 7.738 0.000 -2.350 7.738" Properties=species:S:1:pos:R:3 pbc="T T T"
Na 0.000 0.000 0.000
B 0.000 0.000 11.608
Cl 0.000 0.000 2.479
Cl 0.000 0.000 20.736
```

=====

# 3
Na2BCl6: optimized geometry, GGA-PBE.

Values from the calculation:
- Electronic total energy: -3.0138 eV per atom
- Raw formation energy: -748 meV per atom
- Theoretical density: 2.08 Mg/m³

Cell and atoms, written as extended XYZ:
```
18
Lattice="6.062 0.000 0.000 0.000 6.062 0.000 0.000 0.000 11.720" Properties=species:S:1:pos:R:3 pbc="T T T"
Na 0.000 0.000 1.994
Na 0.000 0.000 9.726
Na 3.031 3.031 3.866
Na 3.031 3.031 7.854
B 0.000 0.000 5.860
B 3.031 3.031 0.000
Cl 1.077 1.077 4.314
Cl 1.077 1.077 7.407
Cl 1.449 4.613 5.860
Cl 1.582 1.582 0.000
Cl 1.954 4.108 1.546
Cl 1.954 4.108 10.174
Cl 4.108 1.954 1.546
Cl 4.108 1.954 10.174
Cl 4.480 4.480 0.000
Cl 4.613 1.449 5.860
Cl 4.985 4.985 4.314
Cl 4.985 4.985 7.407
```

=====

# 4
Na2BCl5: optimized geometry, GGA-PBE.

Values from the calculation:
- Electronic total energy: -3.6115 eV per atom
- Raw formation energy: -1293 meV per atom
- Theoretical density: 1.60 Mg/m³
- Energy relative to the lowest polymorph listed for this composition: 0.031 eV/atom

Cell and atoms, written as extended XYZ:
```
32
Lattice="10.378 0.000 0.000 0.000 11.423 0.000 0.000 0.000 8.188" Properties=species:S:1:pos:R:3 pbc="T T T"
Na 0.000 0.000 1.775
Na 0.000 0.000 6.414
Na 1.252 3.721 0.000
Na 3.937 9.433 4.094
Na 5.189 5.712 2.319
Na 5.189 5.712 5.869
Na 6.440 1.990 4.094
Na 9.126 7.702 0.000
B 2.549 2.478 4.094
B 2.640 8.190 0.000
B 7.738 3.233 0.000
B 7.829 8.945 4.094
Cl 0.818 1.755 4.094
Cl 1.406 6.743 0.000
Cl 1.495 1.190 0.000
Cl 2.367 9.217 1.514
Cl 2.367 9.217 6.675
Cl 2.822 3.506 2.580
Cl 2.822 3.506 5.608
Cl 3.694 6.902 4.094
Cl 3.783 1.031 4.094
Cl 4.371 7.466 0.000
Cl 6.007 3.957 0.000
Cl 6.595 10.392 4.094
Cl 6.684 4.521 4.094
Cl 7.556 7.918 2.580
Cl 7.556 7.918 5.608
Cl 8.011 2.206 1.514
Cl 8.011 2.206 6.675
Cl 8.883 10.233 0.000
Cl 8.972 4.681 0.000
Cl 9.560 9.669 4.094
```